Computed, not measured: an optimized crystal structure of Ho8C5 at the GGA-PBE level of DFT.

extended XYZ file:
```
13
Lattice="6.032 -3.551 0.000 6.032 3.551 0.000 -5.922 0.000 6.182" Properties=species:S:1:pos:R:3 pbc="T T T"
Ho -1.546 1.867 5.157
Ho -1.652 0.000 1.966
Ho 7.688 1.867 1.025
Ho 1.754 0.000 4.111
Ho 4.387 0.000 2.071
Ho -1.546 -1.867 5.157
Ho 7.794 0.000 4.216
Ho 7.688 -1.867 1.025
C 0.000 0.000 0.000
C 3.071 1.726 3.091
C 3.231 0.000 0.017
C 2.910 0.000 6.165
C 3.071 -1.726 3.091
```

Calculated values
As for the space group: C2/m (12). The value obtained for the total moment is 0.00 μB/f.u. The calculated formation energy is -0.264 eV per atom.